A relaxed structure of HgP2Se, computed with PBE.

Cell: 7.6229 7.6229 7.6229 Å, 156.18 148.35 40.00°
Sites, in units of the cell vectors:
Hg 0.1900 0.6900 0.5000
P 0.9208 0.9208 0.0000
P 0.8207 0.3207 0.5000
Se 0.5685 0.5685 0.0000

Computed properties:
E above lowest polymorph in eV/atom: 0.186
Energy relative to the elements, uncorrected in eV/atom: 0.3048
Mass density in g/cm³: 6.05
Space-group type: Imm2, No. 44
Total energy in eV/atom: -3.3467